Entry from Alexandria: a geometry-optimized Ga2Ag2Bi structure (PBEsol).

Values from the calculation:
Energy of formation from the pure elements (eV per atom): 0.0365
Distance to the lowest polymorph of the same formula (meV per atom): 0
DOS(E_F) (states/eV per atom): 0.38

Lattice parameters (Å, degrees): 3.943 3.943 12.791 90.00 90.00 90.00
Space group I4/mmm (No. 139)
Unique sites:
Ga 0.000 0.500 0.250 x4
Ag 0.000 0.000 0.108 x4
Bi 0.000 0.000 0.500 x2



Entry from Alexandria: a geometry-optimized Zn2OsSe structure (PBEsol).

Values from the calculation:
Formation energy from raw total energies (eV/atom): 0.411
DOS(E_F) (states/eV per atom): 0.53

Lattice parameters (Å, degrees): 3.905 3.905 7.708 90.00 90.00 90.00
Space group I-4m2 (No. 119)
Unique sites:
Zn 0.000 0.000 0.000 x2
Zn 0.000 0.500 0.250 x2
Os 0.000 0.000 0.500 x2
Se 0.000 0.500 0.750 x2



Entry from Alexandria: a geometry-optimized NaCu2O3 structure (PBEsol).

Values from the calculation:
Formation energy from raw total energies (eV/atom): -0.778
Distance to the lowest polymorph of the same formula (meV per atom): 44
DOS(E_F) (states/eV per atom): 0.60

Lattice parameters (Å, degrees): 3.700 11.477 3.292 90.00 90.00 90.00
Space group Cmmm (No. 65)
Unique sites:
Na 0.000 0.000 0.000 x2
Cu 0.000 0.342 0.500 x4
O 0.000 0.180 0.500 x4
O 0.000 0.500 0.500 x2



Entry from Alexandria: a geometry-optimized Nb2SbIN structure (PBEsol).

Values from the calculation:
Formation energy from raw total energies (eV/atom): 0.433
DOS(E_F) (states/eV per atom): 0.86

Lattice parameters (Å, degrees): 4.418 4.418 4.697 90.00 90.00 90.00
Space group P4/mmm (No. 123)
Unique sites:
Nb 0.000 0.500 0.000 x2
Sb 0.000 0.000 0.500 x1
I 0.500 0.500 0.500 x1
N 0.000 0.000 0.000 x1



Entry from Alexandria: a geometry-optimized CsGaS2 structure (PBEsol).

Values from the calculation:
Formation energy from raw total energies (eV/atom): -1.012
DOS(E_F) (states/eV per atom): 0.00

Lattice parameters (Å, degrees): 7.222 7.222 8.482 90.00 90.00 90.00
Space group I-42d (No. 122)
Unique sites:
Cs 0.000 0.000 0.000 x4
Ga 0.000 0.000 0.500 x4
S 0.130 0.250 0.625 x8



Entry from Alexandria: a geometry-optimized RbPO3 structure (PBEsol).

Values from the calculation:
Formation energy from raw total energies (eV/atom): -2.269
DOS(E_F) (states/eV per atom): 0.00

Lattice parameters (Å, degrees): 4.515 6.076 12.874 90.00 90.00 90.00
Space group Pnma (No. 62)
Unique sites:
Rb 0.229 0.250 0.092 x4
P 0.180 0.750 0.325 x4
O 0.165 0.250 0.712 x4
O 0.237 0.538 0.381 x8



Entry from Alexandria: a geometry-optimized Pm2AgHg structure (PBEsol).

Values from the calculation:
Energy of formation from the pure elements (eV per atom): -0.4074
DOS(E_F) (states/eV per atom): 1.04

Lattice parameters (Å, degrees): 7.393 7.393 7.393 90.00 90.00 90.00
Space group Fm-3m (No. 225)
Unique sites:
Pm 0.250 0.250 0.250 x8
Ag 0.000 0.000 0.000 x4
Hg 0.000 0.000 0.500 x4



Entry from Alexandria: a geometry-optimized ZnTe structure (PBEsol).

Values from the calculation:
Formation energy from raw total energies (eV/atom): -0.404

Lattice parameters (Å, degrees): 6.065 6.065 6.065 90.00 90.00 90.00
Space group F-43m (No. 216)
Unique sites:
Zn 0.000 0.000 0.000 x4
Te 0.250 0.250 0.750 x4